VASP calculation (GGA-PBE) on a geometry-optimized Ti2P2Se structure.

The space group is I4/mmm (No. 139) and the conventional cell measures 3.446, 3.446 and 13.214 Å, with angles of 90.00, 90.00 and 90.00 degrees. The inequivalent atoms are Ti at (0.000, 0.000, 0.112), P at (0.000, 0.500, 0.250) and Se at (0.000, 0.000, 0.500).

The energy relative to the elements, uncorrected is -0.753 eV/atom. As for the mass density: 5.009 g/cm3. The value obtained for the density of states at the Fermi level is 10.37 states/eV per cell. Its raw total energy is -67.72 eV for the cell shown. As for the spin magnetization: 0.7 μB/cell.